Material: AlTc2W
Method: DFT, GGA-PBEsol
State: optimized geometry

Properties
The total energy is -41.44 eV per cell. As for the volume: 57.4 Å³/cell. The calculation puts the formation energy at -1.01 eV/f.u.

a b c (Å): 3.0788 3.0788 6.0550
angles (deg): 90.00 90.00 90.00
Fractional coordinates of all 4 atoms:
1 Al 0.0000 0.0000 0.0000
2 Tc 0.5000 0.5000 0.2493
3 Tc 0.5000 0.5000 0.7507
4 W 0.0000 0.0000 0.5000



Material: AlTcW2
Method: DFT, GGA-PBEsol
State: optimized geometry

Properties
The total energy is -42.99 eV per cell. As for the volume: 59.5 Å³/cell. The calculation puts the formation energy at -0.02 eV/f.u.

a b c (Å): 3.1210 3.1210 6.1077
angles (deg): 90.00 90.00 90.00
Fractional coordinates of all 4 atoms:
1 Al 0.0000 0.0000 0.0000
2 Tc 0.5000 0.5000 0.2425
3 W 0.0000 0.0000 0.4870
4 W 0.5000 0.5000 0.7447



Material: AlTcW2
Method: DFT, GGA-PBEsol
State: optimized geometry

Properties
The total energy is -43.54 eV per cell. As for the volume: 59.2 Å³/cell. The calculation puts the formation energy at -0.56 eV/f.u.

a b c (Å): 5.1640 5.1640 5.1640
angles (deg): 144.90 130.89 61.79
Fractional coordinates of all 4 atoms:
1 Al 0.0000 0.0000 0.0000
2 Tc 0.5000 0.5000 0.0000
3 W 0.2582 0.7582 0.5000
4 W 0.7418 0.2418 0.5000



volume of number 2 (AlTcW2)?
59.5 Å³/cell



Number 2 is which compound?
AlTcW2



Please write out number 2 again, unchanged.
Material: AlTcW2
Method: DFT, GGA-PBEsol
State: optimized geometry

Properties
The total energy is -42.99 eV per cell. As for the volume: 59.5 Å³/cell. The calculation puts the formation energy at -0.02 eV/f.u.

a b c (Å): 3.1210 3.1210 6.1077
angles (deg): 90.00 90.00 90.00
Fractional coordinates of all 4 atoms:
1 Al 0.0000 0.0000 0.0000
2 Tc 0.5000 0.5000 0.2425
3 W 0.0000 0.0000 0.4870
4 W 0.5000 0.5000 0.7447



What is the formula in the third record?
AlTcW2